Entry 1:
# TlCr2FeO8 (PBE with a Hubbard U, optimized geometry)
# D(E_F) (states/eV/cell): 2.4
# Size of the total moment (μB per formula unit): 1.000
# Total DFT energy (no corrections) (eV per atom): -6.23
data_TlCr2FeO8
_chemical_formula_sum 'Tl1 Cr2 Fe1 O8'
_space_group_name_H-M_alt 'P -3'
_space_group_IT_number 147
_space_group_name_Hall '-P 3'
_cell_length_a 5.2234
_cell_length_b 5.2234
_cell_length_c 7.9033
_cell_angle_alpha 90.00
_cell_angle_beta 90.00
_cell_angle_gamma 120.00
loop_
_atom_site_label
_atom_site_type_symbol
_atom_site_fract_x
_atom_site_fract_y
_atom_site_fract_z
Tl1 Tl 0.0000 0.0000 0.0000
Cr1 Cr 0.3333 0.6667 0.7102
Fe1 Fe 0.0000 0.0000 0.5000
O1 O 0.0771 0.3275 0.6444
O2 O 0.3333 0.6667 0.9173

---

Entry 2:
# UCrFeO6 (PBE with a Hubbard U, optimized geometry)
# D(E_F) (states/eV/cell): 0.0
# Size of the total moment (μB per formula unit): 3.988
# Total DFT energy (no corrections) (eV per atom): -8.14
data_UCrFeO6
_chemical_formula_sum 'U2 Cr2 Fe2 O12'
_space_group_name_H-M_alt 'P 42 n m'
_space_group_IT_number 102
_space_group_name_Hall 'P 4n -2n'
_cell_length_a 4.756
_cell_length_b 4.756
_cell_length_c 9.291
_cell_angle_alpha 90.00
_cell_angle_beta 90.00
_cell_angle_gamma 90.00
loop_
_atom_site_label
_atom_site_type_symbol
_atom_site_fract_x
_atom_site_fract_y
_atom_site_fract_z
U1 U 0.000 0.000 0.000
Cr1 Cr 0.000 0.000 0.665
Fe1 Fe 0.000 0.000 0.334
O1 O 0.184 0.184 0.496
O2 O 0.195 0.195 0.173
O3 O 0.197 0.197 0.830

---

Entry 3:
# V2CrFeO6 (PBE with a Hubbard U, optimized geometry)
# Size of the total moment (μB per formula unit): 9.999
# Total DFT energy (no corrections) (eV per atom): -7.65
data_V2CrFeO6
_chemical_formula_sum 'V2 Cr1 Fe1 O6'
_space_group_name_H-M_alt 'P 1'
_space_group_IT_number 1
_space_group_name_Hall 'P 1'
_cell_length_a 5.086
_cell_length_b 5.139
_cell_length_c 5.517
_cell_angle_alpha 117.33
_cell_angle_beta 90.60
_cell_angle_gamma 119.38
loop_
_atom_site_label
_atom_site_type_symbol
_atom_site_fract_x
_atom_site_fract_y
_atom_site_fract_z
V1 V 0.000 0.000 0.000
V2 V 0.491 0.984 0.480
Cr1 Cr 0.797 0.589 0.398
Fe1 Fe 0.285 0.567 0.867
O1 O 0.092 0.478 0.204
O2 O 0.220 0.064 0.680
O3 O 0.398 0.108 0.210
O4 O 0.616 0.813 0.689
O5 O 0.701 0.801 0.205
O6 O 0.872 0.469 0.687

---

Entry 4:
# Y2CrFeO6 (PBE with a Hubbard U, optimized geometry)
# D(E_F) (states/eV/cell): 0.0
# Size of the total moment (μB per formula unit): 3.974
# Total DFT energy (no corrections) (eV per atom): -8.08
data_Y2CrFeO6
_chemical_formula_sum 'Y4 Cr2 Fe2 O12'
_space_group_name_H-M_alt 'P 1 21/c 1'
_space_group_IT_number 14
_space_group_name_Hall '-P 2ybc'
_cell_length_a 5.268
_cell_length_b 5.593
_cell_length_c 9.211
_cell_angle_alpha 90.00
_cell_angle_beta 124.58
_cell_angle_gamma 90.00
loop_
_atom_site_label
_atom_site_type_symbol
_atom_site_fract_x
_atom_site_fract_y
_atom_site_fract_z
Y1 Y 0.230 0.070 0.250
Cr1 Cr 0.500 0.000 0.000
Fe1 Fe 0.000 0.000 0.500
O1 O 0.136 0.198 0.944
O2 O 0.251 0.696 0.946
O3 O 0.354 0.036 0.747

---

Entry 5:
# ZnCr2FeO6 (PBE with a Hubbard U, optimized geometry)
# Size of the total moment (μB per formula unit): 7.999
# Total DFT energy (no corrections) (eV per atom): -6.68
data_ZnCr2FeO6
_chemical_formula_sum 'Zn1 Cr2 Fe1 O6'
_space_group_name_H-M_alt 'P 1'
_space_group_IT_number 1
_space_group_name_Hall 'P 1'
_cell_length_a 5.070
_cell_length_b 5.082
_cell_length_c 5.427
_cell_angle_alpha 62.19
_cell_angle_beta 62.28
_cell_angle_gamma 60.20
loop_
_atom_site_label
_atom_site_type_symbol
_atom_site_fract_x
_atom_site_fract_y
_atom_site_fract_z
Zn1 Zn 0.000 0.000 0.000
Cr1 Cr 0.285 0.281 0.153
Cr2 Cr 0.792 0.792 0.629
Fe1 Fe 0.483 0.478 0.558
O1 O 0.087 0.670 0.844
O2 O 0.202 0.566 0.358
O3 O 0.405 0.082 0.844
O4 O 0.575 0.879 0.354
O5 O 0.673 0.404 0.840
O6 O 0.883 0.194 0.357

---

Entry 6:
# Zn2CrFe3O8 (PBE with a Hubbard U, optimized geometry)
# D(E_F) (states/eV/cell): 2.5
# Size of the total moment (μB per formula unit): 12.000
# Total DFT energy (no corrections) (eV per atom): -6.15
data_Zn2CrFe3O8
_chemical_formula_sum 'Zn6 Cr3 Fe9 O24'
_space_group_name_H-M_alt 'R -3 m'
_space_group_IT_number 166
_space_group_name_Hall '-R 3 2"'
_cell_length_a 5.9975
_cell_length_b 5.9975
_cell_length_c 14.5830
_cell_angle_alpha 90.00
_cell_angle_beta 90.00
_cell_angle_gamma 120.00
loop_
_atom_site_label
_atom_site_type_symbol
_atom_site_fract_x
_atom_site_fract_y
_atom_site_fract_z
Zn1 Zn 0.0000 0.0000 0.1214
Cr1 Cr 0.0000 0.0000 0.5000
Fe1 Fe 0.0000 0.5000 0.0000
O1 O 0.0000 0.0000 0.2548
O2 O 0.0334 0.5167 0.2562

---

Entry 7:
# ZnCrFeO4 (PBE with a Hubbard U, optimized geometry)
# D(E_F) (states/eV/cell): 0.0
# Size of the total moment (μB per formula unit): 3.989
# Total DFT energy (no corrections) (eV per atom): -6.38
data_ZnCrFeO4
_chemical_formula_sum 'Zn4 Cr4 Fe4 O16'
_space_group_name_H-M_alt 'I m m a'
_space_group_IT_number 74
_space_group_name_Hall '-I 2b 2'
_cell_length_a 5.904
_cell_length_b 5.975
_cell_length_c 8.363
_cell_angle_alpha 90.00
_cell_angle_beta 90.00
_cell_angle_gamma 90.00
loop_
_atom_site_label
_atom_site_type_symbol
_atom_site_fract_x
_atom_site_fract_y
_atom_site_fract_z
Zn1 Zn 0.000 0.250 0.124
Cr1 Cr 0.000 0.000 0.500
Fe1 Fe 0.250 0.250 0.750
O1 O 0.000 0.026 0.741
O2 O 0.227 0.250 0.515

---

Entry 8:
# Zn2Cr3FeO8 (PBE with a Hubbard U, optimized geometry)
# D(E_F) (states/eV/cell): 0.0
# Size of the total moment (μB per formula unit): 14.000
# Total DFT energy (no corrections) (eV per atom): -6.82
data_Zn2Cr3FeO8
_chemical_formula_sum 'Zn6 Cr9 Fe3 O24'
_space_group_name_H-M_alt 'R -3 m'
_space_group_IT_number 166
_space_group_name_Hall '-R 3 2"'
_cell_length_a 6.0171
_cell_length_b 6.0171
_cell_length_c 14.7029
_cell_angle_alpha 90.00
_cell_angle_beta 90.00
_cell_angle_gamma 120.00
loop_
_atom_site_label
_atom_site_type_symbol
_atom_site_fract_x
_atom_site_fract_y
_atom_site_fract_z
Zn1 Zn 0.0000 0.0000 0.1245
Cr1 Cr 0.0000 0.5000 0.0000
Fe1 Fe 0.0000 0.0000 0.5000
O1 O 0.0000 0.0000 0.2615
O2 O 0.0294 0.5147 0.2542

---

Entry 9:
# ZrCrFeO2 (PBE with a Hubbard U, optimized geometry)
# D(E_F) (states/eV/cell): 3.2
# Size of the total moment (μB per formula unit): 0.000
# Total DFT energy (no corrections) (eV per atom): -5.95
data_ZrCrFeO2
_chemical_formula_sum 'Zr1 Cr1 Fe1 O2'
_space_group_name_H-M_alt 'P 4/m m m'
_space_group_IT_number 123
_space_group_name_Hall '-P 4 2'
_cell_length_a 3.710
_cell_length_b 3.710
_cell_length_c 4.383
_cell_angle_alpha 90.00
_cell_angle_beta 90.00
_cell_angle_gamma 90.00
loop_
_atom_site_label
_atom_site_type_symbol
_atom_site_fract_x
_atom_site_fract_y
_atom_site_fract_z
Zr1 Zr 0.000 0.000 0.000
Cr1 Cr 0.500 0.500 0.500
Fe1 Fe 0.500 0.500 0.000
O1 O 0.000 0.500 0.500